No. 1
The following is a PBE calculation of an optimized crystal structure of Sm2Dy7Ho2, from Alexandria via LeMat-Bulk. Values from VASP.

Quantum ESPRESSO input file:
```
&SYSTEM
  ibrav = 0, nat = 11, ntyp = 3
/
ATOMIC_SPECIES
Sm 150.36 Sm.upf
Dy 162.50 Dy.upf
Ho 164.93 Ho.upf
CELL_PARAMETERS angstrom
5.585 -5.758 0.000
5.585 5.758 0.000
-2.373 0.000 5.548
ATOMIC_POSITIONS crystal
Sm 0.215 0.785 0.000
Sm 0.785 0.215 0.000
Dy 0.000 0.000 0.500
Dy 0.062 0.590 0.327
Dy 0.234 0.234 0.085
Dy 0.410 0.938 0.673
Dy 0.590 0.062 0.327
Dy 0.766 0.766 0.915
Dy 0.938 0.410 0.673
Ho 0.409 0.409 0.694
Ho 0.591 0.591 0.306
```

excess energy over the best structure of this formula in the dataset: 0.043 eV per atom
formation energy from the elements: 0.160 eV/atom

No. 2
The following is a PBE calculation of an optimized crystal structure of CdRh2Cl, from Alexandria via LeMat-Bulk. Values from VASP.

Quantum ESPRESSO input file:
```
&SYSTEM
  ibrav = 0, nat = 16, ntyp = 3
/
ATOMIC_SPECIES
Cd 112.41 Cd.upf
Rh 102.91 Rh.upf
Cl 35.45 Cl.upf
CELL_PARAMETERS angstrom
4.628 0.000 0.000
0.000 4.628 0.000
0.000 0.000 15.354
ATOMIC_POSITIONS crystal
Cd 0.000 0.000 0.000
Cd 0.000 0.500 0.250
Cd 0.500 0.000 0.750
Cd 0.500 0.500 0.500
Rh 0.130 0.250 0.625
Rh 0.250 0.630 0.875
Rh 0.250 0.870 0.375
Rh 0.370 0.250 0.125
Rh 0.630 0.750 0.125
Rh 0.750 0.130 0.375
Rh 0.750 0.370 0.875
Rh 0.870 0.750 0.625
Cl 0.000 0.000 0.500
Cl 0.000 0.500 0.750
Cl 0.500 0.000 0.250
Cl 0.500 0.500 0.000
```

excess energy over the best structure of this formula in the dataset: 0.388 eV per atom

No. 3
The following is a PBE calculation of an optimized crystal structure of Cd6GaAg, from Alexandria via LeMat-Bulk. Values from VASP.

Quantum ESPRESSO input file:
```
&SYSTEM
  ibrav = 0, nat = 16, ntyp = 3
/
ATOMIC_SPECIES
Cd 112.41 Cd.upf
Ga 69.72 Ga.upf
Ag 107.87 Ag.upf
CELL_PARAMETERS angstrom
5.838 0.000 0.000
0.000 7.433 0.000
-2.897 0.000 7.992
ATOMIC_POSITIONS crystal
Cd 0.133 0.250 0.264
Cd 0.133 0.750 0.264
Cd 0.249 0.000 0.997
Cd 0.251 0.500 0.003
Cd 0.367 0.250 0.736
Cd 0.367 0.750 0.736
Cd 0.633 0.250 0.264
Cd 0.633 0.750 0.264
Cd 0.749 0.500 0.997
Cd 0.751 0.000 0.003
Cd 0.867 0.250 0.736
Cd 0.867 0.750 0.736
Ga 0.000 0.500 0.500
Ga 0.500 0.000 0.500
Ag 0.000 0.000 0.500
Ag 0.500 0.500 0.500
```

excess energy over the best structure of this formula in the dataset: 0.000 eV per atom
formation energy from the elements: 0.015 eV/atom

No. 4
The following is a PBE calculation of an optimized crystal structure of MnTlTe2, from Alexandria via LeMat-Bulk. Values from VASP.

Quantum ESPRESSO input file:
```
&SYSTEM
  ibrav = 0, nat = 4, ntyp = 3
/
ATOMIC_SPECIES
Mn 54.94 Mn.upf
Tl 204.38 Tl.upf
Te 127.60 Te.upf
CELL_PARAMETERS angstrom
5.056 0.000 0.000
0.000 4.129 0.000
-1.703 0.000 6.028
ATOMIC_POSITIONS crystal
Mn 0.000 0.000 0.000
Tl 0.652 0.500 0.187
Te 0.066 0.500 0.754
Te 0.332 0.000 0.394
```

raw total energy: -4.434 eV/atom

No. 5
The following is a PBE calculation of an optimized crystal structure of SiHg4Sb, from Alexandria via LeMat-Bulk. Values from VASP.

Quantum ESPRESSO input file:
```
&SYSTEM
  ibrav = 0, nat = 6, ntyp = 3
/
ATOMIC_SPECIES
Si 28.09 Si.upf
Hg 200.59 Hg.upf
Sb 121.76 Sb.upf
CELL_PARAMETERS angstrom
0.000 4.213 4.213
4.213 0.000 4.213
4.213 4.213 0.000
ATOMIC_POSITIONS crystal
Si 0.000 0.000 0.000
Hg 0.124 0.625 0.625
Hg 0.625 0.124 0.625
Hg 0.625 0.625 0.124
Hg 0.625 0.625 0.625
Sb 0.250 0.250 0.250
```

raw total energy: -1.259 eV/atom

No. 6
The following is a PBE calculation of an optimized crystal structure of CaTaTcO6, from Alexandria via LeMat-Bulk. Values from VASP.

Quantum ESPRESSO input file:
```
&SYSTEM
  ibrav = 0, nat = 18, ntyp = 4
/
ATOMIC_SPECIES
Ca 40.08 Ca.upf
Ta 180.95 Ta.upf
Tc 98.00 Tc.upf
O 16.00 O.upf
CELL_PARAMETERS angstrom
4.885 0.000 0.000
0.000 4.885 0.000
0.000 0.000 9.559
ATOMIC_POSITIONS crystal
Ca 0.000 0.000 0.000
Ca 0.500 0.500 0.500
Ta 0.000 0.000 0.336
Ta 0.500 0.500 0.836
Tc 0.000 0.000 0.672
Tc 0.500 0.500 0.172
O 0.175 0.175 0.505
O 0.214 0.214 0.811
O 0.217 0.217 0.194
O 0.283 0.717 0.694
O 0.286 0.714 0.311
O 0.325 0.675 0.005
O 0.675 0.325 0.005
O 0.714 0.286 0.311
O 0.717 0.283 0.694
O 0.783 0.783 0.194
O 0.786 0.786 0.811
O 0.825 0.825 0.505
```

raw total energy: -8.291 eV/atom

No. 7
The following is a PBE calculation of an optimized crystal structure of Al3V6Ga, from Alexandria via LeMat-Bulk. Values from VASP.

Quantum ESPRESSO input file:
```
&SYSTEM
  ibrav = 0, nat = 20, ntyp = 3
/
ATOMIC_SPECIES
Al 26.98 Al.upf
V 50.94 V.upf
Ga 69.72 Ga.upf
CELL_PARAMETERS angstrom
4.041 -6.907 0.000
4.041 6.907 0.000
0.000 0.000 5.343
ATOMIC_POSITIONS crystal
Al 0.125 0.875 0.500
Al 0.212 0.410 0.071
Al 0.410 0.212 0.571
Al 0.590 0.788 0.071
Al 0.788 0.590 0.571
Al 0.875 0.125 0.000
V 0.036 0.508 0.751
V 0.121 0.280 0.547
V 0.224 0.776 0.022
V 0.280 0.121 0.047
V 0.467 0.533 0.745
V 0.492 0.964 0.751
V 0.508 0.036 0.251
V 0.533 0.467 0.245
V 0.720 0.879 0.547
V 0.776 0.224 0.522
V 0.879 0.720 0.047
V 0.964 0.492 0.251
Ga 0.330 0.670 0.436
Ga 0.670 0.330 0.936
```

formation energy from the elements: 0.059 eV/atom

No. 8
The following is a PBE calculation of an optimized crystal structure of Mg5BiPb6, from Alexandria via LeMat-Bulk. Values from VASP.

Quantum ESPRESSO input file:
```
&SYSTEM
  ibrav = 0, nat = 12, ntyp = 3
/
ATOMIC_SPECIES
Mg 24.30 Mg.upf
Bi 208.98 Bi.upf
Pb 207.20 Pb.upf
CELL_PARAMETERS angstrom
5.130 -7.265 0.000
5.130 7.265 0.000
-2.385 0.000 4.427
ATOMIC_POSITIONS crystal
Mg 0.000 0.000 0.000
Mg 0.183 0.817 0.500
Mg 0.350 0.650 0.000
Mg 0.650 0.350 0.000
Mg 0.817 0.183 0.500
Bi 0.500 0.500 0.500
Pb 0.060 0.400 0.229
Pb 0.220 0.220 0.718
Pb 0.400 0.060 0.229
Pb 0.600 0.940 0.771
Pb 0.780 0.780 0.282
Pb 0.940 0.600 0.771
```

formation energy from the elements: -0.034 eV/atom

Number 1: size of the total moment 0.00 μB per atom. Number 2: size of the total moment 0.00 μB per atom. Number 3: size of the total moment 0.00 μB per atom. Number 4: size of the total moment 1.00 μB per atom. Number 5: size of the total moment 0.00 μB per atom. Number 6: size of the total moment 0.22 μB per atom. Number 7: size of the total moment 0.00 μB per atom. Number 8: size of the total moment 0.00 μB per atom.